No. 1
# GGA-PBEsol CdCuAg2, relaxed
# * V: 128 Å³/cell
# * ΔE_f: 0.028 eV/atom
# * M_tot: 0.000 μB/cell
data_CdCuAg2
_chemical_formula_sum 'Cd2 Cu2 Ag4'
_symmetry_space_group_name_H-M 'I -4 m 2'
_symmetry_Int_Tables_number 119
_symmetry_space_group_name_Hall 'I -4 -2'
_cell_length_a 4.029
_cell_length_b 4.029
_cell_length_c 7.914
_cell_angle_alpha 90.00
_cell_angle_beta 90.00
_cell_angle_gamma 90.00
loop_
_atom_site_label
_atom_site_type_symbol
_atom_site_fract_x
_atom_site_fract_y
_atom_site_fract_z
_atom_site_occupancy
Cd1 Cd 0.000 0.000 0.000 1
Cu1 Cu 0.000 0.500 0.250 1
Ag1 Ag 0.000 0.000 0.500 1
Ag2 Ag 0.000 0.500 0.750 1

No. 2
# GGA-PBEsol CdCuAg2, relaxed
# * V: 129 Å³/cell
# * ΔE_f: 0.042 eV/atom
# * M_tot: 0.000 μB/cell
data_CdCuAg2
_chemical_formula_sum 'Cd2 Cu2 Ag4'
_symmetry_space_group_name_H-M 'C 1 m 1'
_symmetry_Int_Tables_number 8
_symmetry_space_group_name_Hall 'C -2y'
_cell_length_a 9.427
_cell_length_b 2.932
_cell_length_c 4.799
_cell_angle_alpha 90.00
_cell_angle_beta 103.75
_cell_angle_gamma 90.00
loop_
_atom_site_label
_atom_site_type_symbol
_atom_site_fract_x
_atom_site_fract_y
_atom_site_fract_z
_atom_site_occupancy
Cd1 Cd 0.000 0.000 0.000 1
Cu1 Cu 0.256 0.000 0.755 1
Ag1 Ag 0.019 0.500 0.517 1
Ag2 Ag 0.260 0.500 0.264 1

No. 3
# GGA-PBEsol CdCuAg2, relaxed
# * V: 129 Å³/cell
# * ΔE_f: 0.031 eV/atom
# * M_tot: 0.000 μB/cell
data_CdCuAg2
_chemical_formula_sum 'Cd2 Cu2 Ag4'
_symmetry_space_group_name_H-M 'C 1 2/m 1'
_symmetry_Int_Tables_number 12
_symmetry_space_group_name_Hall '-C 2y'
_cell_length_a 9.469
_cell_length_b 2.942
_cell_length_c 4.772
_cell_angle_alpha 90.00
_cell_angle_beta 104.42
_cell_angle_gamma 90.00
loop_
_atom_site_label
_atom_site_type_symbol
_atom_site_fract_x
_atom_site_fract_y
_atom_site_fract_z
_atom_site_occupancy
Cd1 Cd 0.000 0.000 0.000 1
Cu1 Cu 0.000 0.500 0.500 1
Ag1 Ag 0.238 0.000 0.739 1

No. 4
# GGA-PBEsol CdCuAg2, relaxed
# * V: 195 Å³/cell
# * ΔE_f: 0.067 eV/atom
# * M_tot: 0.000 μB/cell
data_CdCuAg2
_chemical_formula_sum 'Cd3 Cu3 Ag6'
_symmetry_space_group_name_H-M 'R -3 m'
_symmetry_Int_Tables_number 166
_symmetry_space_group_name_Hall '-R 3 2"'
_cell_length_a 2.8787
_cell_length_b 2.8787
_cell_length_c 27.1082
_cell_angle_alpha 90.00
_cell_angle_beta 90.00
_cell_angle_gamma 120.00
loop_
_atom_site_label
_atom_site_type_symbol
_atom_site_fract_x
_atom_site_fract_y
_atom_site_fract_z
_atom_site_occupancy
Cd1 Cd 0.0000 0.0000 0.0000 1
Cu1 Cu 0.0000 0.0000 0.5000 1
Ag1 Ag 0.0000 0.0000 0.2431 1